--- i ---
! Cs2RbTlAg (GGA-PBE, optimized geometry); values from VASP
&SYSTEM
  ibrav = 0, nat = 5, ntyp = 4
/
ATOMIC_SPECIES
Cs 132.91 Cs.upf
Rb 85.47 Rb.upf
Tl 204.38 Tl.upf
Ag 107.87 Ag.upf
CELL_PARAMETERS angstrom
7.386 0.000 0.000
0.000 7.386 0.000
0.000 0.000 5.590
ATOMIC_POSITIONS angstrom
Cs 0.000 3.693 0.000
Cs 3.693 0.000 0.000
Rb 0.000 0.000 2.795
Tl 3.693 3.693 2.795
Ag 3.693 3.693 0.000
! **Space group**: P4/mmm
! **DOS at the Fermi energy**: 4.607 states/eV/cell
! **M_tot**: 0.0 Bohr magnetons per cell

--- ii ---
! Cs2RbTlAg (GGA-PBE, optimized geometry); values from VASP
&SYSTEM
  ibrav = 0, nat = 5, ntyp = 4
/
ATOMIC_SPECIES
Cs 132.91 Cs.upf
Rb 85.47 Rb.upf
Tl 204.38 Tl.upf
Ag 107.87 Ag.upf
CELL_PARAMETERS angstrom
7.041 0.000 0.000
0.000 7.041 0.000
0.000 0.000 6.773
ATOMIC_POSITIONS angstrom
Cs 0.000 3.521 0.000
Cs 3.521 0.000 0.000
Rb 0.000 0.000 3.387
Tl 3.521 3.521 3.387
Ag 0.000 0.000 0.000
! **Space group**: P4/mmm
! **DOS at the Fermi energy**: 5.932 states/eV/cell
! **M_tot**: 0.0 Bohr magnetons per cell

Computed relative energies in units of kJ/mol of atoms: i 0.0; ii 8.8

--- i ---
! CsRb2ZnAg (GGA-PBE, optimized geometry); values from VASP
&SYSTEM
  ibrav = 0, nat = 5, ntyp = 4
/
ATOMIC_SPECIES
Cs 132.91 Cs.upf
Rb 85.47 Rb.upf
Zn 65.41 Zn.upf
Ag 107.87 Ag.upf
CELL_PARAMETERS angstrom
6.940 0.000 0.000
0.000 6.940 0.000
0.000 0.000 5.357
ATOMIC_POSITIONS angstrom
Cs 0.000 0.000 0.000
Rb 0.000 3.470 2.679
Rb 3.470 0.000 2.679
Zn 3.470 3.470 2.679
Ag 3.470 3.470 0.000
! **Space group**: P4/mmm
! **DOS at the Fermi energy**: 4.660 states/eV/cell
! **M_tot**: 0.0 Bohr magnetons per cell

--- ii ---
! CsRb2ZnAg (GGA-PBE, optimized geometry); values from VASP
&SYSTEM
  ibrav = 0, nat = 5, ntyp = 4
/
ATOMIC_SPECIES
Cs 132.91 Cs.upf
Rb 85.47 Rb.upf
Zn 65.41 Zn.upf
Ag 107.87 Ag.upf
CELL_PARAMETERS angstrom
6.987 0.000 0.000
0.000 6.987 0.000
0.000 0.000 5.390
ATOMIC_POSITIONS angstrom
Cs 0.000 0.000 0.000
Rb 0.000 3.494 2.695
Rb 3.494 0.000 2.695
Zn 3.494 3.494 0.000
Ag 3.494 3.494 2.695
! **Space group**: P4/mmm
! **DOS at the Fermi energy**: 3.862 states/eV/cell
! **M_tot**: 0.0 Bohr magnetons per cell

Computed relative energies in units of kJ/mol of atoms: i 1.4; ii 0.0

--- i ---
! Cs2AgS2 (GGA-PBE, optimized geometry); values from VASP
&SYSTEM
  ibrav = 0, nat = 10, ntyp = 3
/
ATOMIC_SPECIES
Cs 132.91 Cs.upf
Ag 107.87 Ag.upf
S 32.06 S.upf
CELL_PARAMETERS angstrom
3.891 0.000 0.000
0.000 3.891 0.000
0.000 0.000 22.012
ATOMIC_POSITIONS angstrom
Cs 0.000 0.000 2.673
Cs 0.000 0.000 19.339
Cs 1.945 1.945 8.333
Cs 1.945 1.945 13.679
Ag 0.000 0.000 11.006
Ag 1.945 1.945 0.000
S 0.000 1.945 5.503
S 0.000 1.945 16.509
S 1.945 0.000 5.503
S 1.945 0.000 16.509
! **Space group**: I4/mmm
! **DOS at the Fermi energy**: 3.164 states/eV/cell
! **M_tot**: 0.0 Bohr magnetons per cell

--- ii ---
! Cs2AgS2 (GGA-PBE, optimized geometry); values from VASP
&SYSTEM
  ibrav = 0, nat = 10, ntyp = 3
/
ATOMIC_SPECIES
Cs 132.91 Cs.upf
Ag 107.87 Ag.upf
S 32.06 S.upf
CELL_PARAMETERS angstrom
7.469 0.000 0.000
0.000 7.469 0.000
0.000 0.000 5.515
ATOMIC_POSITIONS angstrom
Cs 1.209 2.526 0.000
Cs 2.526 6.261 0.000
Cs 4.944 1.209 0.000
Cs 6.261 4.944 0.000
Ag 0.000 0.000 2.758
Ag 3.735 3.735 2.758
S 1.236 4.971 2.758
S 2.499 1.236 2.758
S 4.971 6.234 2.758
S 6.234 2.499 2.758
! **Space group**: P4/mbm
! **DOS at the Fermi energy**: 3.871 states/eV/cell
! **M_tot**: 0.0 Bohr magnetons per cell

--- iii ---
! Cs2AgS2 (GGA-PBE, optimized geometry); values from VASP
&SYSTEM
  ibrav = 0, nat = 20, ntyp = 3
/
ATOMIC_SPECIES
Cs 132.91 Cs.upf
Ag 107.87 Ag.upf
S 32.06 S.upf
CELL_PARAMETERS angstrom
8.237 0.000 0.000
0.000 7.082 0.000
0.000 0.000 13.082
ATOMIC_POSITIONS angstrom
Cs 0.106 1.771 2.826
Cs 1.547 5.312 5.954
Cs 2.572 1.771 12.495
Cs 4.012 5.312 9.367
Cs 4.225 1.771 3.715
Cs 5.665 5.312 0.587
Cs 6.690 1.771 7.127
Cs 8.131 5.312 10.256
Ag 1.937 5.312 1.971
Ag 2.181 1.771 8.512
Ag 6.056 5.312 4.570
Ag 6.299 1.771 11.111
S 0.252 1.771 10.021
S 1.843 1.771 6.161
S 2.275 5.312 12.702
S 3.866 5.312 3.481
S 4.371 1.771 9.601
S 5.962 1.771 0.380
S 6.394 5.312 6.921
S 7.985 5.312 3.060
! **Space group**: Pnma
! **DOS at the Fermi energy**: 18.756 states/eV/cell
! **M_tot**: 0.0 Bohr magnetons per cell

Computed relative energies in units of kJ/mol of atoms: i 47.6; ii 19.5; iii 0.0